1.
{"formula": "YLuAgPd", "functional": "PBE", "state": "optimized geometry", "lattice_angstrom": [[0.000, 3.539, 3.539], [3.539, 0.000, 3.539], [3.539, 3.539, 0.000]], "species": ["Y", "Lu", "Ag", "Pd"], "fractional_positions": [[0.000, 0.000, 0.000], [0.500, 0.500, 0.500], [0.250, 0.250, 0.250], [0.750, 0.750, 0.750]], "m_tot_mub_per_cell": 0.0, "energy_ev_per_cell": -21.48, "rho_g_cm3": 9.0}



2.
{"formula": "PmLu2Ag", "functional": "PBE", "state": "optimized geometry", "lattice_angstrom": [[3.531, 0.000, 0.000], [0.000, 3.531, 0.000], [0.000, 0.000, 8.791]], "species": ["Pm", "Lu", "Lu", "Ag"], "fractional_positions": [[0.000, 0.000, 0.000], [0.500, 0.500, 0.292], [0.500, 0.500, 0.708], [0.000, 0.000, 0.500]], "e_above_lowest_polymorph_mev_per_atom": 0, "m_tot_mub_per_cell": 0.0, "energy_ev_per_cell": -17.20, "rho_g_cm3": 9.1}



3.
{"formula": "Pm2LuAg", "functional": "PBE", "state": "optimized geometry", "lattice_angstrom": [[0.000, 3.840, 3.840], [3.840, 0.000, 3.840], [3.840, 3.840, 0.000]], "species": ["Pm", "Pm", "Lu", "Ag"], "fractional_positions": [[0.250, 0.250, 0.250], [0.750, 0.750, 0.750], [0.000, 0.000, 0.000], [0.500, 0.500, 0.500]], "e_above_lowest_polymorph_mev_per_atom": 135, "m_tot_mub_per_cell": 0.0, "energy_ev_per_cell": -16.72, "rho_g_cm3": 8.4}



4.
{"formula": "PmLu2Ag", "functional": "PBE", "state": "optimized geometry", "lattice_angstrom": [[4.738, 0.000, 0.000], [0.000, 4.738, 0.000], [0.000, 0.000, 4.812]], "species": ["Pm", "Lu", "Lu", "Ag"], "fractional_positions": [[0.000, 0.000, 0.000], [0.000, 0.500, 0.500], [0.500, 0.000, 0.500], [0.500, 0.500, 0.000]], "e_above_lowest_polymorph_mev_per_atom": 155, "m_tot_mub_per_cell": 0.0, "energy_ev_per_cell": -16.58, "rho_g_cm3": 9.3}



Number 1: ΔH_f (0 K) -0.612 eV per atom. Number 2: ΔH_f (0 K) -0.139 eV per atom. Number 3: ΔH_f (0 K) 0.039 eV per atom. Number 4: ΔH_f (0 K) 0.016 eV per atom.